[1]
Density functional theory data (PBE) for an optimized crystal structure of LaCeHgBi.

Lattice parameters (Å, degrees): 5.5601 5.5601 5.5601 60.00 60.00 60.00
Each line ends with the local moment (μB).
Sites, in units of the cell vectors:
La 0.5000 0.5000 0.5000  0.14
Bi 0.2500 0.2500 0.2500  0.00
Ce 0.0000 0.0000 0.0000  1.05
Hg 0.7500 0.7500 0.7500  0.02

Results
Its volume is 30.39 Å³ per atom. For the formation energy, the calculation gives -0.539 eV per atom. For the uncorrected energy, the calculation gives -4.301 eV per atom. The density of states at the Fermi level comes out at 2.6248 states/eV per atom. Its space-group type is No. 216. The density is 9.41 Mg/m³.

[2]
Density functional theory data (PBE) for an optimized crystal structure of Li4Ce2Hg2Bi3.

Lattice parameters (Å, degrees): 4.5279 4.5279 13.8860 99.38 99.38 90.00
Each line ends with the local moment (μB).
Sites, in units of the cell vectors:
Li 0.3980 0.8980 0.7959  0.00
Li 0.8980 0.3980 0.7959  0.00
Li 0.1020 0.6020 0.2041  0.00
Li 0.6020 0.1020 0.2041  0.00
Ce 0.2991 0.2991 0.5983  0.97
Ce 0.7009 0.7009 0.4017  0.97
Hg 0.4470 0.4470 0.8939  0.00
Hg 0.5530 0.5530 0.1061  0.00
Bi 0.0000 0.0000 0.0000  -0.02
Bi 0.1764 0.1764 0.3528  -0.04
Bi 0.8236 0.8236 0.6472  -0.04

Results
Its volume is 25.18 Å³ per atom. For the formation energy, the calculation gives -0.440 eV per atom. For the uncorrected energy, the calculation gives -3.328 eV per atom. The density of states at the Fermi level comes out at 1.4836 states/eV per atom. Its space-group type is No. 139. The density is 8.01 Mg/m³.

[3]
Density functional theory data (PBE) for an optimized crystal structure of LiCeHgBi.

Lattice parameters (Å, degrees): 5.3078 5.3078 5.3078 60.00 60.00 60.00
Each line ends with the local moment (μB).
Sites, in units of the cell vectors:
Li 0.0000 0.0000 0.0000  0.01
Bi 0.2500 0.2500 0.2500  -0.01
Ce 0.5000 0.5000 0.5000  1.03
Hg 0.7500 0.7500 0.7500  0.04

Results
Its volume is 26.44 Å³ per atom. For the formation energy, the calculation gives -0.465 eV per atom. For the uncorrected energy, the calculation gives -3.472 eV per atom. The density of states at the Fermi level comes out at 1.7646 states/eV per atom. Its space-group type is No. 216. The density is 8.74 Mg/m³.

- Look up the uncorrected energy of the first one.
  -4.301 eV per atom